MgFe2Ru | SCAN | single point on PBEsol structure

Structure (CIF):
```
data_MgFe2Ru
_symmetry_space_group_name_H-M 'C m m m'
_symmetry_Int_Tables_number 65
_symmetry_space_group_name_Hall '-C 2 2'
_cell_length_a 5.194
_cell_length_b 7.659
_cell_length_c 2.601
_cell_angle_alpha 90.00
_cell_angle_beta 90.00
_cell_angle_gamma 90.00
loop_
_atom_site_label
_atom_site_fract_x
_atom_site_fract_y
_atom_site_fract_z
_atom_site_occupancy
Mg1 0.000 0.000 0.000 1
Fe1 0.250 0.250 0.500 1
Ru1 0.000 0.500 0.000 1
```

Output
Energy relative to the elements (kcal/mol of atoms): 3.3
Calculated total energy (eV per atom): -18.871
ρ (g cm⁻³): 7.61
Density of states at the Fermi level (states/eV per atom): 0.52

Rb2TmCl5 | SCAN | single point on PBEsol structure

Structure (CIF):
```
data_Rb2TmCl5
_symmetry_space_group_name_H-M 'P n m a'
_symmetry_Int_Tables_number 62
_cell_length_a 9.265
_cell_length_b 7.186
_cell_length_c 14.529
_cell_angle_alpha 90.00
_cell_angle_beta 90.00
_cell_angle_gamma 90.00
loop_
_symmetry_equiv_pos_as_xyz
'x,y,z'
'-x,-y,-z'
'-x+1/2,-y,z+1/2'
'x+1/2,y,-z+1/2'
'x+1/2,-y+1/2,-z+1/2'
'-x+1/2,y+1/2,z+1/2'
'-x,y+1/2,-z'
'x,-y+1/2,z'
loop_
_atom_site_label
_atom_site_fract_x
_atom_site_fract_y
_atom_site_fract_z
_atom_site_occupancy
Rb1 0.032 0.250 0.208 1
Rb2 0.170 0.750 0.414 1
Tm1 0.188 0.750 0.063 1
Cl1 0.000 0.000 0.000 1
Cl2 0.031 0.750 0.206 1
Cl3 0.151 0.510 0.613 1
Cl4 0.218 0.250 0.396 1
```

Output
Formation energy (no corrections) (eV/atom): -2.4150
Calculated total energy (eV per atom): -19.065
ρ (g cm⁻³): 3.55
Density of states at the Fermi level (states/eV per atom): 0.00